Entry 1:
Material: VSb2TeRh
Method: DFT, PBE
State: relaxed

The structure in POSCAR format:
```
VSb2TeRh
1.0
5.0287 0.0000 0.0000
0.0000 5.0287 0.0000
0.0000 0.0000 5.0256
Sb Te Rh V
2 1 1 1
Cartesian
0.0000 2.5143 0.0000 Sb
2.5143 0.0000 0.0000 Sb
0.0000 0.0000 2.5128 Te
2.5143 2.5143 2.5128 Rh
0.0000 0.0000 0.0000 V
```

Output
For the energy above the most stable polymorph in this dataset, the calculation gives 0.00 kJ per mole of atoms. The raw formation energy is 691 meV/atom. The value obtained for the density of states at the Fermi level is 4.07 states/eV/cell. The space-group type is P4/mmm (123).

=====

Entry 2:
Material: Sb2TeRhW
Method: DFT, PBE
State: relaxed

The structure in POSCAR format:
```
Sb2TeRhW
1.0
5.1977 0.0000 0.0000
0.0000 5.1977 0.0000
0.0000 0.0000 5.1760
Sb Te Rh W
2 1 1 1
Cartesian
0.0000 2.5988 0.0000 Sb
2.5988 0.0000 0.0000 Sb
0.0000 0.0000 2.5880 Te
2.5988 2.5988 2.5880 Rh
0.0000 0.0000 0.0000 W
```

Output
For the energy above the most stable polymorph in this dataset, the calculation gives 0.00 kJ per mole of atoms. The raw formation energy is 1084 meV/atom. The value obtained for the density of states at the Fermi level is 4.26 states/eV/cell. The space-group type is P4/mmm (123).

=====

Entry 3:
Material: Sb2TeRhW
Method: DFT, PBE
State: relaxed

The structure in POSCAR format:
```
Sb2TeRhW
1.0
-1.1151 4.4785 -1.9511
-1.5403 -2.2216 -4.2189
-4.8965 -0.3582 1.9763
Sb Te Rh W
2 1 1 1
Cartesian
-0.7701 -1.1108 -2.1095 Sb
-0.5576 2.2392 -0.9756 Sb
-2.4483 -0.1791 0.9881 Te
0.0000 0.0000 0.0000 Rh
-3.7760 0.9493 -2.0969 W
```

Output
For the energy above the most stable polymorph in this dataset, the calculation gives 8.72 kJ per mole of atoms. The raw formation energy is 1175 meV/atom. The value obtained for the density of states at the Fermi level is 3.95 states/eV/cell. The space-group type is P4/mmm (123).